(1)
Crystalline TaPNCl2 at its relaxed geometry. Source: Alexandria, functional PBE-GGA.

calculated total energy: -4.5731 eV per atom
E_form (uncorrected): 124 kJ/mol of atoms
DOS at the Fermi energy: 0.535 states/eV/atom

a = 4.021 Å, b = 4.021 Å, c = 4.751 Å
α = 90.00°, β = 90.00°, γ = 90.00°
Positions (direct):
Ta 0.000 0.000 0.000
P 0.500 0.500 0.000
N 0.500 0.500 0.500
Cl 0.000 0.500 0.500
Cl 0.500 0.000 0.500

=====

(2)
Crystalline TaPNCl2 at its relaxed geometry. Source: Alexandria, functional PBE-GGA.

calculated total energy: -5.1368 eV per atom
E_form (uncorrected): 69 kJ/mol of atoms
DOS at the Fermi energy: 0.539 states/eV/atom

a = 4.888 Å, b = 4.888 Å, c = 4.850 Å
α = 90.00°, β = 90.00°, γ = 90.00°
Positions (direct):
Ta 0.000 0.000 0.000
P 0.000 0.000 0.500
N 0.500 0.500 0.500
Cl 0.000 0.500 0.000
Cl 0.500 0.000 0.000

=====

(3)
Crystalline TaP2NCl at its relaxed geometry. Source: Alexandria, functional PBE-GGA.

calculated total energy: -5.4960 eV per atom
E_form (uncorrected): 104 kJ/mol of atoms
DOS at the Fermi energy: 0.577 states/eV/atom

a = 4.817 Å, b = 4.817 Å, c = 5.009 Å
α = 90.00°, β = 90.00°, γ = 90.00°
Positions (direct):
Ta 0.000 0.000 0.000
P 0.000 0.500 0.000
P 0.500 0.000 0.000
N 0.500 0.500 0.500
Cl 0.000 0.000 0.500

=====

(4)
Crystalline TcP2NCl at its relaxed geometry. Source: Alexandria, functional PBE-GGA.

calculated total energy: -5.1044 eV per atom
E_form (uncorrected): 113 kJ/mol of atoms
DOS at the Fermi energy: 0.554 states/eV/atom

a = 3.916 Å, b = 3.916 Å, c = 4.274 Å
α = 90.00°, β = 90.00°, γ = 90.00°
Positions (direct):
Tc 0.000 0.000 0.000
P 0.000 0.500 0.500
P 0.500 0.000 0.500
N 0.500 0.500 0.500
Cl 0.500 0.500 0.000

=====

(5)
Crystalline TcP2NCl at its relaxed geometry. Source: Alexandria, functional PBE-GGA.

calculated total energy: -5.0095 eV per atom
E_form (uncorrected): 122 kJ/mol of atoms
DOS at the Fermi energy: 0.473 states/eV/atom

a = 4.532 Å, b = 4.532 Å, c = 5.150 Å
α = 90.00°, β = 90.00°, γ = 90.00°
Positions (direct):
Tc 0.000 0.000 0.000
P 0.000 0.500 0.000
P 0.500 0.000 0.000
N 0.500 0.500 0.500
Cl 0.000 0.000 0.500

=====

(6)
Crystalline TeP2NCl at its relaxed geometry. Source: Alexandria, functional PBE-GGA.

calculated total energy: -2.6338 eV per atom
E_form (uncorrected): 212 kJ/mol of atoms
DOS at the Fermi energy: 1.519 states/eV/atom

a = 5.157 Å, b = 5.157 Å, c = 5.037 Å
α = 90.00°, β = 90.00°, γ = 90.00°
Positions (direct):
Te 0.000 0.000 0.000
P 0.000 0.500 0.000
P 0.500 0.000 0.000
N 0.500 0.500 0.500
Cl 0.000 0.000 0.500

=====

(7)
Crystalline TeP2NCl at its relaxed geometry. Source: Alexandria, functional PBE-GGA.

calculated total energy: -3.8018 eV per atom
E_form (uncorrected): 99 kJ/mol of atoms
DOS at the Fermi energy: 0.370 states/eV/atom

a = 4.392 Å, b = 4.392 Å, c = 4.222 Å
α = 90.00°, β = 90.00°, γ = 90.00°
Positions (direct):
Te 0.000 0.000 0.000
P 0.000 0.500 0.500
P 0.500 0.000 0.500
N 0.500 0.500 0.500
Cl 0.500 0.500 0.000

=====

(8)
Crystalline TePN2Cl at its relaxed geometry. Source: Alexandria, functional PBE-GGA.

calculated total energy: -3.1961 eV per atom
E_form (uncorrected): 214 kJ/mol of atoms
DOS at the Fermi energy: 1.012 states/eV/atom

a = 3.738 Å, b = 3.738 Å, c = 8.211 Å
α = 90.00°, β = 90.00°, γ = 90.00°
Positions (direct):
Te 0.000 0.000 0.000
P 0.500 0.500 0.000
N 0.000 0.500 0.500
N 0.500 0.000 0.500
Cl 0.000 0.000 0.500

=====

| no. | V (A^3/atom) |
| --- | --- |
| 1 | 15.4 |
| 2 | 23.2 |
| 3 | 23.2 |
| 4 | 13.1 |
| 5 | 21.2 |
| 6 | 26.8 |
| 7 | 16.3 |
| 8 | 23.0 |